# 1
# HoHfGa2Cu2

A relaxed structure of HoHfGa2Cu2 (PBE, the Open Quantum Materials Database).

Unit cell a=4.281 b=4.281 c=6.683 alpha=90.00 beta=90.00 gamma=120.00
Fractional coordinates of all 6 atoms:
1 Ga 0.333 0.667 0.224
2 Ga 0.333 0.667 0.776
3 Hf 0.000 0.000 0.000
4 Cu 0.667 0.333 0.213
5 Cu 0.667 0.333 0.787
6 Ho 0.000 0.000 0.500


# 2
# Cu2Ag3

A relaxed structure of Cu2Ag3 (PBE, the Open Quantum Materials Database).

Unit cell a=7.470 b=7.470 c=4.821 alpha=95.82 beta=95.82 gamma=142.38
Fractional coordinates of all 10 atoms:
1 Ag 0.162 0.838 0.750
2 Ag 0.943 0.057 0.750
3 Ag 0.838 0.162 0.250
4 Ag 0.555 0.445 0.750
5 Ag 0.057 0.943 0.250
6 Ag 0.445 0.555 0.250
7 Cu 0.749 0.251 0.750
8 Cu 0.251 0.749 0.250
9 Cu 0.653 0.347 0.250
10 Cu 0.347 0.653 0.750

Values from the calculation:
Polymorph energy (0 for the lowest one)   5.4 kJ/mol of atoms
ΔH_f (0 K)   0.088 eV per atom


| no. | total DFT energy (no corrections) (eV/atom) |
| --- | --- |
| 1 | -5.12 |
| 2 | -3.09 |